(1)
A plane-wave DFT calculation with PBE was carried out for a relaxed NdPu2I6 crystal.

Computed properties:
The density comes out at 6.04 g/cm3. For the formation energy without anion corrections, the calculation gives -10.2 eV/f.u. The crystal system is monoclinic. The calculation puts the density of states at the Fermi level at 23.6 states/eV/f.u.

Geometry as CIF:
```
data_NdPu2I6
_symmetry_space_group_name_H-M 'C 1 2/m 1'
_symmetry_Int_Tables_number 12
_cell_length_a 17.323
_cell_length_b 4.320
_cell_length_c 10.983
_cell_angle_alpha 90.00
_cell_angle_beta 111.29
_cell_angle_gamma 90.00
loop_
_symmetry_equiv_pos_as_xyz
'x,y,z'
'-x,-y,-z'
'-x,y,-z'
'x,-y,z'
'x+1/2,y+1/2,z'
'-x+1/2,-y+1/2,-z'
'-x+1/2,y+1/2,-z'
'x+1/2,-y+1/2,z'
loop_
_atom_site_label
_atom_site_fract_x
_atom_site_fract_y
_atom_site_fract_z
Nd1 0.000 0.000 0.000
Pu1 0.165 0.500 0.331
I1 0.025 0.000 0.302
I2 0.142 0.500 0.030
I3 0.195 0.500 0.633
```

(2)
A plane-wave DFT calculation with PBE was carried out for a relaxed NdPuI crystal.

Computed properties:
The density comes out at 8.95 g/cm3. For the formation energy without anion corrections, the calculation gives -1.1 eV/f.u. The crystal system is monoclinic. The calculation puts the density of states at the Fermi level at 4.1 states/eV/f.u.

Geometry as CIF:
```
data_NdPuI
_symmetry_space_group_name_H-M 'P 1 21/c 1'
_symmetry_Int_Tables_number 14
_cell_length_a 13.861
_cell_length_b 4.200
_cell_length_c 6.572
_cell_angle_alpha 90.00
_cell_angle_beta 91.93
_cell_angle_gamma 90.00
loop_
_symmetry_equiv_pos_as_xyz
'x,y,z'
'-x,-y,-z'
'-x,y+1/2,-z+1/2'
'x,-y+1/2,z+1/2'
loop_
_atom_site_label
_atom_site_fract_x
_atom_site_fract_y
_atom_site_fract_z
Nd1 0.198 0.002 0.303
Pu1 0.000 0.250 0.070
I1 0.357 0.003 0.669
```

(3)
A plane-wave DFT calculation with PBE was carried out for a relaxed Rb4NdI7 crystal.

Computed properties:
The density comes out at 3.29 g/cm3. For the formation energy without anion corrections, the calculation gives -17.3 eV/f.u. The crystal system is monoclinic. The calculation puts the density of states at the Fermi level at 0.0 states/eV/f.u.

Geometry as CIF:
```
data_Rb4NdI7
_symmetry_space_group_name_H-M 'C 1 2/m 1'
_symmetry_Int_Tables_number 12
_cell_length_a 18.557
_cell_length_b 6.223
_cell_length_c 12.490
_cell_angle_alpha 90.00
_cell_angle_beta 105.96
_cell_angle_gamma 90.00
loop_
_symmetry_equiv_pos_as_xyz
'x,y,z'
'-x,-y,-z'
'-x,y,-z'
'x,-y,z'
'x+1/2,y+1/2,z'
'-x+1/2,-y+1/2,-z'
'-x+1/2,y+1/2,-z'
'x+1/2,-y+1/2,z'
loop_
_atom_site_label
_atom_site_fract_x
_atom_site_fract_y
_atom_site_fract_z
Rb1 0.015 0.000 0.206
Rb2 0.242 0.500 0.162
Nd1 0.000 0.500 0.500
I1 0.000 0.000 0.500
I2 0.117 0.500 0.363
I3 0.122 0.500 0.728
I4 0.145 0.000 0.039
```

(4)
A plane-wave DFT calculation with PBE was carried out for a relaxed RbNdI4 crystal.

Computed properties:
The density comes out at 3.16 g/cm3. The distance to the lowest polymorph of the same formula comes out at 0 meV/atom. For the formation energy without anion corrections, the calculation gives -8.7 eV/f.u. The crystal system is monoclinic. The calculation puts the density of states at the Fermi level at 0.0 states/eV/f.u.

Geometry as CIF:
```
data_RbNdI4
_symmetry_space_group_name_H-M 'C 1 2/c 1'
_symmetry_Int_Tables_number 15
_cell_length_a 11.044
_cell_length_b 18.402
_cell_length_c 8.102
_cell_angle_alpha 90.00
_cell_angle_beta 109.53
_cell_angle_gamma 90.00
loop_
_symmetry_equiv_pos_as_xyz
'x,y,z'
'-x,-y,-z'
'-x,y,-z+1/2'
'x,-y,z+1/2'
'x+1/2,y+1/2,z'
'-x+1/2,-y+1/2,-z'
'-x+1/2,y+1/2,-z+1/2'
'x+1/2,-y+1/2,z+1/2'
loop_
_atom_site_label
_atom_site_fract_x
_atom_site_fract_y
_atom_site_fract_z
Rb1 0.000 0.232 0.250
Nd1 0.000 0.067 0.750
I1 0.165 0.059 0.153
I2 0.187 0.182 0.706
```

(5)
A plane-wave DFT calculation with PBE was carried out for a relaxed RbNdI3 crystal.

Computed properties:
The density comes out at 4.33 g/cm3. The distance to the lowest polymorph of the same formula comes out at 0 meV/atom. For the formation energy without anion corrections, the calculation gives -6.7 eV/f.u. The crystal system is hexagonal. The calculation puts the density of states at the Fermi level at 2.3 states/eV/f.u.

Geometry as CIF:
```
data_RbNdI3
_symmetry_space_group_name_H-M 'P 63/m m c'
_symmetry_Int_Tables_number 194
_symmetry_space_group_name_Hall '-P 6c 2c'
_cell_length_a 8.7777
_cell_length_b 8.7777
_cell_length_c 7.0194
_cell_angle_alpha 90.00
_cell_angle_beta 90.00
_cell_angle_gamma 120.00
loop_
_atom_site_label
_atom_site_fract_x
_atom_site_fract_y
_atom_site_fract_z
Rb1 0.3333 0.6667 0.2500
Nd1 0.0000 0.0000 0.0000
I1 0.1761 0.3522 0.7500
```

(6)
A plane-wave DFT calculation with PBE was carried out for a relaxed RbNd2I8 crystal.

Computed properties:
The density comes out at 4.74 g/cm3. For the formation energy without anion corrections, the calculation gives -13.8 eV/f.u. The crystal system is monoclinic. The calculation puts the density of states at the Fermi level at 1.9 states/eV/f.u.

Geometry as CIF:
```
data_RbNd2I8
_symmetry_space_group_name_H-M 'C 1 2/m 1'
_symmetry_Int_Tables_number 12
_cell_length_a 9.912
_cell_length_b 15.634
_cell_length_c 6.275
_cell_angle_alpha 90.00
_cell_angle_beta 90.16
_cell_angle_gamma 90.00
loop_
_symmetry_equiv_pos_as_xyz
'x,y,z'
'-x,-y,-z'
'-x,y,-z'
'x,-y,z'
'x+1/2,y+1/2,z'
'-x+1/2,-y+1/2,-z'
'-x+1/2,y+1/2,-z'
'x+1/2,-y+1/2,z'
loop_
_atom_site_label
_atom_site_fract_x
_atom_site_fract_y
_atom_site_fract_z
Rb1 0.000 0.000 0.000
Nd1 0.000 0.305 0.500
I1 0.000 0.260 0.000
I2 0.001 0.500 0.751
I3 0.190 0.134 0.502
```

(7)
A plane-wave DFT calculation with PBE was carried out for a relaxed Rb2NdI5 crystal.

Computed properties:
The density comes out at 4.38 g/cm3. The distance to the lowest polymorph of the same formula comes out at 0 meV/atom. For the formation energy without anion corrections, the calculation gives -11.8 eV/f.u. The crystal system is orthorhombic. The calculation puts the density of states at the Fermi level at 0.0 states/eV/f.u.

Geometry as CIF:
```
data_Rb2NdI5
_symmetry_space_group_name_H-M 'P n m a'
_symmetry_Int_Tables_number 62
_cell_length_a 14.948
_cell_length_b 10.076
_cell_length_c 9.554
_cell_angle_alpha 90.00
_cell_angle_beta 90.00
_cell_angle_gamma 90.00
loop_
_symmetry_equiv_pos_as_xyz
'x,y,z'
'-x,-y,-z'
'-x+1/2,-y,z+1/2'
'x+1/2,y,-z+1/2'
'x+1/2,-y+1/2,-z+1/2'
'-x+1/2,y+1/2,z+1/2'
'-x,y+1/2,-z'
'x,-y+1/2,z'
loop_
_atom_site_label
_atom_site_fract_x
_atom_site_fract_y
_atom_site_fract_z
Rb1 0.170 0.009 0.081
Nd1 0.006 0.250 0.577
I1 0.010 0.250 0.916
I2 0.064 0.548 0.670
I3 0.186 0.250 0.400
I4 0.201 0.750 0.358
```

(8)
A plane-wave DFT calculation with PBE was carried out for a relaxed Rb2NdI5 crystal.

Computed properties:
The density comes out at 3.03 g/cm3. The distance to the lowest polymorph of the same formula comes out at 87 meV/atom. For the formation energy without anion corrections, the calculation gives -11.1 eV/f.u. The crystal system is monoclinic. The calculation puts the density of states at the Fermi level at 0.0 states/eV/f.u.

Geometry as CIF:
```
data_Rb2NdI5
_symmetry_space_group_name_H-M 'C 1 m 1'
_symmetry_Int_Tables_number 8
_cell_length_a 12.609
_cell_length_b 12.841
_cell_length_c 8.996
_cell_angle_alpha 90.00
_cell_angle_beta 134.47
_cell_angle_gamma 90.00
loop_
_symmetry_equiv_pos_as_xyz
'x,y,z'
'x,-y,z'
'x+1/2,y+1/2,z'
'x+1/2,-y+1/2,z'
loop_
_atom_site_label
_atom_site_fract_x
_atom_site_fract_y
_atom_site_fract_z
Rb1 0.000 0.249 0.000
Nd1 0.454 0.500 0.499
I1 0.132 0.000 0.968
I2 0.162 0.500 0.031
I3 0.187 0.000 0.497
I4 0.397 0.266 0.500
```

(9)
A plane-wave DFT calculation with PBE was carried out for a relaxed Rb2NdI6 crystal.

Computed properties:
The density comes out at 4.61 g/cm3. For the formation energy without anion corrections, the calculation gives -10.8 eV/f.u. The crystal system is orthorhombic. The calculation puts the density of states at the Fermi level at 13.5 states/eV/f.u.

Geometry as CIF:
```
data_Rb2NdI6
_symmetry_space_group_name_H-M 'A m m 2'
_symmetry_Int_Tables_number 38
_cell_length_a 4.930
_cell_length_b 16.546
_cell_length_c 9.505
_cell_angle_alpha 90.00
_cell_angle_beta 90.00
_cell_angle_gamma 90.00
loop_
_symmetry_equiv_pos_as_xyz
'x,y,z'
'-x,-y,z'
'-x,y,z'
'x,-y,z'
'x,y+1/2,z+1/2'
'-x,-y+1/2,z+1/2'
'-x,y+1/2,z+1/2'
'x,-y+1/2,z+1/2'
loop_
_atom_site_label
_atom_site_fract_x
_atom_site_fract_y
_atom_site_fract_z
Rb1 0.000 0.167 0.000
Nd1 0.500 0.000 0.502
I1 0.000 0.000 0.737
I2 0.000 0.117 0.383
I3 0.500 0.000 0.145
I4 0.500 0.179 0.679
```

(10)
A plane-wave DFT calculation with PBE was carried out for a relaxed Rb3NdI8 crystal.

Computed properties:
The density comes out at 3.92 g/cm3. For the formation energy without anion corrections, the calculation gives -13.0 eV/f.u. The crystal system is tetragonal. The calculation puts the density of states at the Fermi level at 15.2 states/eV/f.u.

Geometry as CIF:
```
data_Rb3NdI8
_symmetry_space_group_name_H-M 'I 4/m m m'
_symmetry_Int_Tables_number 139
_symmetry_space_group_name_Hall '-I 4 2'
_cell_length_a 8.223
_cell_length_b 8.223
_cell_length_c 17.746
_cell_angle_alpha 90.00
_cell_angle_beta 90.00
_cell_angle_gamma 90.00
loop_
_atom_site_label
_atom_site_fract_x
_atom_site_fract_y
_atom_site_fract_z
Rb1 0.000 0.000 0.000
Rb2 0.000 0.500 0.250
Nd1 0.000 0.000 0.500
I1 0.228 0.228 0.388
```

(11)
A plane-wave DFT calculation with PBE was carried out for a relaxed RbNdI4 crystal.

Computed properties:
The density comes out at 4.40 g/cm3. The distance to the lowest polymorph of the same formula comes out at 39 meV/atom. For the formation energy without anion corrections, the calculation gives -8.4 eV/f.u. The crystal system is monoclinic.

Geometry as CIF:
```
data_RbNdI4
_symmetry_space_group_name_H-M 'C 1 2/c 1'
_symmetry_Int_Tables_number 15
_cell_length_a 10.737
_cell_length_b 15.559
_cell_length_c 7.728
_cell_angle_alpha 90.00
_cell_angle_beta 120.37
_cell_angle_gamma 90.00
loop_
_symmetry_equiv_pos_as_xyz
'x,y,z'
'-x,-y,-z'
'-x,y,-z+1/2'
'x,-y,z+1/2'
'x+1/2,y+1/2,z'
'-x+1/2,-y+1/2,-z'
'-x+1/2,y+1/2,-z+1/2'
'x+1/2,-y+1/2,z+1/2'
loop_
_atom_site_label
_atom_site_fract_x
_atom_site_fract_y
_atom_site_fract_z
Rb1 0.000 0.135 0.250
Nd1 0.000 0.500 0.250
I1 0.106 0.341 0.573
I2 0.232 0.064 0.811
```

(12)
A plane-wave DFT calculation with PBE was carried out for a relaxed Rb5Nd2I12 crystal.

Computed properties:
The density comes out at 3.54 g/cm3. For the formation energy without anion corrections, the calculation gives -25.4 eV/f.u. The crystal system is monoclinic. The calculation puts the density of states at the Fermi level at 4.4 states/eV/f.u.

Geometry as CIF:
```
data_Rb5Nd2I12
_symmetry_space_group_name_H-M 'C 1 2/m 1'
_symmetry_Int_Tables_number 12
_cell_length_a 20.612
_cell_length_b 8.989
_cell_length_c 11.980
_cell_angle_alpha 90.00
_cell_angle_beta 109.10
_cell_angle_gamma 90.00
loop_
_symmetry_equiv_pos_as_xyz
'x,y,z'
'-x,-y,-z'
'-x,y,-z'
'x,-y,z'
'x+1/2,y+1/2,z'
'-x+1/2,-y+1/2,-z'
'-x+1/2,y+1/2,-z'
'x+1/2,-y+1/2,z'
loop_
_atom_site_label
_atom_site_fract_x
_atom_site_fract_y
_atom_site_fract_z
Rb1 0.000 0.000 0.000
Rb2 0.189 0.500 0.334
Rb3 0.210 0.500 0.857
Nd1 0.000 0.251 0.500
I1 0.007 0.500 0.692
I2 0.009 0.000 0.688
I3 0.143 0.276 0.061
I4 0.158 0.257 0.573
```

For each record above, in turn, the calculated total energy values are -105.94 -87.06 -73.64 -82.36 -34.14 -73.49 -105.10 -51.17 -53.60 -66.12 -81.42 -116.66 eV/cell.